A) {"formula": "P2SBrCl", "functional": "PBE", "state": "optimized geometry", "lattice_angstrom": [[5.056, 0.000, 0.000], [0.000, 5.056, 0.000], [0.000, 0.000, 4.773]], "species": ["Cl", "P", "P", "S", "Br"], "frac_coords": [[0.500, 0.500, 0.500], [0.500, 0.000, 0.000], [0.000, 0.500, 0.000], [0.000, 0.000, 0.500], [0.000, 0.000, 0.000]], "mass_density_g_cm3": 2.850, "sg": "No. 123", "dos_at_fermi_per_ev_fu": 3.71}


B) {"formula": "P2SBrCl", "functional": "PBE", "state": "optimized geometry", "lattice_angstrom": [[4.741, 0.000, 0.000], [0.000, 4.741, 0.000], [0.000, 0.000, 4.829]], "species": ["Br", "P", "P", "Cl", "S"], "frac_coords": [[0.500, 0.500, 0.500], [0.000, 0.500, 0.000], [0.500, 0.000, 0.000], [0.000, 0.000, 0.500], [0.000, 0.000, 0.000]], "mass_density_g_cm3": 3.203, "sg": "No. 123", "dos_at_fermi_per_ev_fu": 3.42}


Of them, the most stable is B) and the least stable is A).


A) {"formula": "SbPBrCl2", "functional": "PBE", "state": "optimized geometry", "lattice_angstrom": [[-0.220, 4.418, -2.539], [-5.034, 0.206, 0.795], [0.896, 2.877, 4.929]], "species": ["Br", "Cl", "Sb", "P", "Cl"], "frac_coords": [[0.500, 0.500, 0.500], [0.500, 0.000, 0.000], [0.000, 0.000, 0.000], [0.000, 0.000, 0.500], [0.000, 0.500, 0.000]], "mass_density_g_cm3": 3.354, "sg": "No. 123", "dos_at_fermi_per_ev_fu": 3.14}


B) {"formula": "SbPBrCl2", "functional": "PBE", "state": "optimized geometry", "lattice_angstrom": [[5.013, 0.000, 0.000], [0.000, 5.013, 0.000], [0.000, 0.000, 5.325]], "species": ["Br", "Cl", "Cl", "P", "Sb"], "frac_coords": [[0.000, 0.000, 0.000], [0.000, 0.500, 0.000], [0.500, 0.000, 0.000], [0.000, 0.000, 0.500], [0.500, 0.500, 0.500]], "mass_density_g_cm3": 3.767, "sg": "No. 123", "dos_at_fermi_per_ev_fu": 2.58}


Of them, the most stable is A) and the least stable is B).


A) {"formula": "ScP2BrCl", "functional": "PBE", "state": "optimized geometry", "lattice_angstrom": [[4.881, 0.000, 0.000], [0.000, 4.881, 0.000], [0.000, 0.000, 4.869]], "species": ["P", "P", "Cl", "Sc", "Br"], "frac_coords": [[0.000, 0.500, 0.000], [0.500, 0.000, 0.000], [0.000, 0.000, 0.500], [0.500, 0.500, 0.500], [0.000, 0.000, 0.000]], "mass_density_g_cm3": 3.182, "sg": "No. 123", "dos_at_fermi_per_ev_fu": 2.60}


B) {"formula": "ScP2BrCl", "functional": "PBE", "state": "optimized geometry", "lattice_angstrom": [[-0.791, -2.436, 4.478], [0.559, -4.546, -2.374], [4.760, 0.114, 0.903]], "species": ["P", "Cl", "Sc", "P", "Br"], "frac_coords": [[0.500, 0.000, 0.000], [0.000, 0.000, 0.500], [0.000, 0.000, 0.000], [0.000, 0.500, 0.000], [0.500, 0.500, 0.500]], "mass_density_g_cm3": 2.861, "sg": "No. 123", "dos_at_fermi_per_ev_fu": 3.10}


Of them, the most stable is B) and the least stable is A).


A) {"formula": "PSe2BrCl", "functional": "PBE", "state": "optimized geometry", "lattice_angstrom": [[-1.474, 4.671, -0.048], [-2.248, -0.754, -4.286], [-4.180, -1.294, 2.420]], "species": ["Br", "Se", "P", "Cl", "Se"], "frac_coords": [[0.000, 0.000, 0.500], [0.500, 0.000, 0.000], [0.000, 0.000, 0.000], [0.500, 0.500, 0.500], [0.000, 0.500, 0.000]], "mass_density_g_cm3": 4.211, "sg": "No. 123", "dos_at_fermi_per_ev_fu": 5.56}


B) {"formula": "PSe2BrCl", "functional": "PBE", "state": "optimized geometry", "lattice_angstrom": [[-4.918, 1.213, 0.166], [-1.119, -4.733, 1.424], [0.492, 1.335, 4.821]], "species": ["P", "Cl", "Se", "Br", "Se"], "frac_coords": [[0.500, 0.500, 0.500], [0.000, 0.000, 0.000], [0.000, 0.500, 0.000], [0.000, 0.000, 0.500], [0.500, 0.000, 0.000]], "mass_density_g_cm3": 3.914, "sg": "No. 123", "dos_at_fermi_per_ev_fu": 6.27}


Of them, the most stable is A) and the least stable is B).


A) {"formula": "SrPBrCl2", "functional": "PBE", "state": "optimized geometry", "lattice_angstrom": [[5.405, 0.000, 0.000], [0.000, 5.405, 0.000], [0.000, 0.000, 9.874]], "species": ["Sr", "Cl", "Br", "P", "Cl"], "frac_coords": [[0.000, 0.000, 0.000], [0.000, 0.500, 0.000], [0.500, 0.500, 0.500], [0.000, 0.000, 0.500], [0.500, 0.000, 0.000]], "mass_density_g_cm3": 1.551, "sg": "No. 123", "dos_at_fermi_per_ev_fu": 3.16}


B) {"formula": "SrPBrCl2", "functional": "PBE", "state": "optimized geometry", "lattice_angstrom": [[-2.439, 2.703, -4.759], [-3.565, -4.737, -0.864], [-3.171, 1.894, 2.701]], "species": ["P", "Br", "Sr", "Cl", "Cl"], "frac_coords": [[0.000, 0.000, 0.500], [0.000, 0.000, 0.000], [0.500, 0.500, 0.500], [0.500, 0.000, 0.000], [0.000, 0.500, 0.000]], "mass_density_g_cm3": 2.723, "sg": "No. 123", "dos_at_fermi_per_ev_fu": 3.72}


Of them, the most stable is A) and the least stable is B).


A) {"formula": "TiPBrCl2", "functional": "PBE", "state": "optimized geometry", "lattice_angstrom": [[4.945, 0.000, 0.000], [0.000, 4.945, 0.000], [0.000, 0.000, 5.240]], "species": ["Ti", "Br", "Cl", "P", "Cl"], "frac_coords": [[0.500, 0.500, 0.500], [0.000, 0.000, 0.000], [0.000, 0.500, 0.000], [0.000, 0.000, 0.500], [0.500, 0.000, 0.000]], "mass_density_g_cm3": 2.976, "sg": "No. 123", "dos_at_fermi_per_ev_fu": 9.80}


B) {"formula": "TiPBrCl2", "functional": "PBE", "state": "optimized geometry", "lattice_angstrom": [[4.621, 0.000, 0.000], [0.000, 4.621, 0.000], [0.000, 0.000, 5.249]], "species": ["P", "Cl", "Ti", "Cl", "Br"], "frac_coords": [[0.000, 0.000, 0.500], [0.000, 0.500, 0.000], [0.000, 0.000, 0.000], [0.500, 0.000, 0.000], [0.500, 0.500, 0.500]], "mass_density_g_cm3": 3.402, "sg": "No. 123", "dos_at_fermi_per_ev_fu": 3.53}


Of them, the most stable is B) and the least stable is A).


A) {"formula": "TiP2BrCl", "functional": "PBE", "state": "optimized geometry", "lattice_angstrom": [[4.852, 0.000, 0.000], [0.000, 4.852, 0.000], [0.000, 0.000, 4.675]], "species": ["P", "Cl", "P", "Ti", "Br"], "frac_coords": [[0.000, 0.500, 0.000], [0.000, 0.000, 0.500], [0.500, 0.000, 0.000], [0.000, 0.000, 0.000], [0.500, 0.500, 0.500]], "mass_density_g_cm3": 3.397, "sg": "No. 123", "dos_at_fermi_per_ev_fu": 3.71}


B) {"formula": "TiP2BrCl", "functional": "PBE", "state": "optimized geometry", "lattice_angstrom": [[-1.449, 3.560, 2.969], [-4.246, -2.268, 0.647], [1.848, -2.386, 3.762]], "species": ["P", "Cl", "Ti", "Br", "P"], "frac_coords": [[0.000, 0.500, 0.000], [0.000, 0.000, 0.500], [0.500, 0.500, 0.500], [0.000, 0.000, 0.000], [0.500, 0.000, 0.000]], "mass_density_g_cm3": 3.287, "sg": "No. 123", "dos_at_fermi_per_ev_fu": 5.08}


Of them, the most stable is A) and the least stable is B).


A) {"formula": "TlP2BrCl", "functional": "PBE", "state": "optimized geometry", "lattice_angstrom": [[5.339, 0.000, 0.000], [0.000, 5.339, 0.000], [0.000, 0.000, 5.250]], "species": ["P", "Cl", "Tl", "P", "Br"], "frac_coords": [[0.500, 0.000, 0.000], [0.000, 0.000, 0.500], [0.000, 0.000, 0.000], [0.000, 0.500, 0.000], [0.500, 0.500, 0.500]], "mass_density_g_cm3": 4.235, "sg": "No. 123", "dos_at_fermi_per_ev_fu": 5.62}


B) {"formula": "TlP2BrCl", "functional": "PBE", "state": "optimized geometry", "lattice_angstrom": [[-0.549, -4.599, 1.164], [4.733, -0.452, 0.448], [-0.478, 1.793, 6.857]], "species": ["P", "P", "Br", "Tl", "Cl"], "frac_coords": [[0.000, 0.500, 0.000], [0.500, 0.000, 0.000], [0.000, 0.000, 0.000], [0.500, 0.500, 0.500], [0.000, 0.000, 0.500]], "mass_density_g_cm3": 3.911, "sg": "No. 123", "dos_at_fermi_per_ev_fu": 3.45}


Of them, the most stable is B) and the least stable is A).


A) {"formula": "VPBrCl2", "functional": "PBE", "state": "optimized geometry", "lattice_angstrom": [[-1.541, 3.992, 2.526], [0.470, -2.515, 4.260], [4.920, 1.632, 0.421]], "species": ["V", "P", "Br", "Cl", "Cl"], "frac_coords": [[0.500, 0.500, 0.500], [0.000, 0.000, 0.500], [0.000, 0.000, 0.000], [0.500, 0.000, 0.000], [0.000, 0.500, 0.000]], "mass_density_g_cm3": 3.009, "sg": "No. 123", "dos_at_fermi_per_ev_fu": 11.04}


B) {"formula": "VPBrCl2", "functional": "PBE", "state": "optimized geometry", "lattice_angstrom": [[-0.839, 2.544, 3.632], [-2.256, -3.428, 1.879], [4.289, -1.647, 2.145]], "species": ["V", "Cl", "Cl", "Br", "P"], "frac_coords": [[0.000, 0.000, 0.000], [0.500, 0.000, 0.000], [0.000, 0.500, 0.000], [0.500, 0.500, 0.500], [0.000, 0.000, 0.500]], "mass_density_g_cm3": 3.742, "sg": "No. 123", "dos_at_fermi_per_ev_fu": 3.70}


Of them, the most stable is B) and the least stable is A).


A) {"formula": "VP2BrCl", "functional": "PBE", "state": "optimized geometry", "lattice_angstrom": [[4.663, 0.000, 0.000], [0.000, 4.663, 0.000], [0.000, 0.000, 4.603]], "species": ["P", "P", "Br", "Cl", "V"], "frac_coords": [[0.000, 0.500, 0.000], [0.500, 0.000, 0.000], [0.500, 0.500, 0.500], [0.000, 0.000, 0.500], [0.000, 0.000, 0.000]], "mass_density_g_cm3": 3.787, "sg": "No. 123", "dos_at_fermi_per_ev_fu": 3.74}


B) {"formula": "VP2BrCl", "functional": "PBE", "state": "optimized geometry", "lattice_angstrom": [[-4.131, -2.160, -1.422], [2.102, -4.366, 0.524], [-1.497, -0.168, 4.605]], "species": ["V", "P", "Cl", "P", "Br"], "frac_coords": [[0.500, 0.500, 0.500], [0.000, 0.500, 0.000], [0.000, 0.000, 0.500], [0.500, 0.000, 0.000], [0.000, 0.000, 0.000]], "mass_density_g_cm3": 3.293, "sg": "No. 123", "dos_at_fermi_per_ev_fu": 5.34}


Of them, the most stable is A) and the least stable is B).


A) {"formula": "P2WBrCl", "functional": "PBE", "state": "optimized geometry", "lattice_angstrom": [[4.870, 0.000, 0.000], [0.000, 4.870, 0.000], [0.000, 0.000, 4.766]], "species": ["Cl", "P", "W", "Br", "P"], "frac_coords": [[0.000, 0.000, 0.500], [0.000, 0.500, 0.000], [0.500, 0.500, 0.500], [0.000, 0.000, 0.000], [0.500, 0.000, 0.000]], "mass_density_g_cm3": 5.306, "sg": "No. 123", "dos_at_fermi_per_ev_fu": 3.22}


B) {"formula": "P2WBrCl", "functional": "PBE", "state": "optimized geometry", "lattice_angstrom": [[-1.777, -2.329, -3.730], [1.478, -4.106, 1.860], [-4.201, -0.472, 2.296]], "species": ["W", "P", "Br", "P", "Cl"], "frac_coords": [[0.000, 0.000, 0.000], [0.000, 0.500, 0.000], [0.500, 0.500, 0.500], [0.500, 0.000, 0.000], [0.000, 0.000, 0.500]], "mass_density_g_cm3": 5.541, "sg": "No. 123", "dos_at_fermi_per_ev_fu": 2.74}


Of them, the most stable is B) and the least stable is A).


A) {"formula": "YP2BrCl", "functional": "PBE", "state": "optimized geometry", "lattice_angstrom": [[5.529, 0.000, 0.000], [0.000, 5.529, 0.000], [0.000, 0.000, 5.149]], "species": ["P", "P", "Br", "Cl", "Y"], "frac_coords": [[0.000, 0.500, 0.000], [0.500, 0.000, 0.000], [0.500, 0.500, 0.500], [0.000, 0.000, 0.500], [0.000, 0.000, 0.000]], "mass_density_g_cm3": 2.809, "sg": "No. 123", "dos_at_fermi_per_ev_fu": 4.27}


B) {"formula": "YP2BrCl", "functional": "PBE", "state": "optimized geometry", "lattice_angstrom": [[-3.521, 0.991, 3.277], [-3.421, -1.188, -3.317], [0.123, -4.636, 1.534]], "species": ["Cl", "Y", "P", "Br", "P"], "frac_coords": [[0.000, 0.000, 0.500], [0.500, 0.500, 0.500], [0.500, 0.000, 0.000], [0.000, 0.000, 0.000], [0.000, 0.500, 0.000]], "mass_density_g_cm3": 3.752, "sg": "No. 123", "dos_at_fermi_per_ev_fu": 2.67}


Of them, the most stable is A) and the least stable is B).


A) {"formula": "PaBr4Cl", "functional": "PBE", "state": "optimized geometry", "lattice_angstrom": [[5.195, 0.184, -1.978], [-1.522, 6.410, -3.365], [1.221, 1.892, 11.175]], "species": ["Cl", "Br", "Br", "Pa", "Br", "Br", "Br", "Cl", "Br", "Br", "Pa", "Br"], "frac_coords": [[0.390, 0.140, 0.780], [0.865, 0.834, 0.655], [0.135, 0.166, 0.345], [0.921, 0.171, 0.842], [0.210, 0.679, 0.345], [0.217, 0.565, 0.943], [0.727, 0.878, 0.943], [0.610, 0.860, 0.220], [0.783, 0.435, 0.057], [0.790, 0.321, 0.655], [0.079, 0.829, 0.158], [0.273, 0.122, 0.057]], "mass_density_g_cm3": 4.540, "sg": "No. 15"}


B) {"formula": "PaBr4Cl", "functional": "PBE", "state": "optimized geometry", "lattice_angstrom": [[1.772, -5.716, -6.081], [6.947, -4.952, -0.043], [-11.471, 0.801, 9.731]], "species": ["Pa", "Br", "Br", "Br", "Br", "Br", "Cl", "Cl", "Br", "Br", "Pa", "Br"], "frac_coords": [[0.750, 0.250, 0.750], [0.553, 0.581, 0.183], [0.419, 0.447, 0.317], [0.081, 0.053, 0.183], [0.053, 0.081, 0.683], [0.581, 0.553, 0.683], [0.500, 0.000, 0.500], [0.000, 0.500, 0.000], [0.919, 0.947, 0.817], [0.447, 0.419, 0.817], [0.250, 0.750, 0.250], [0.947, 0.919, 0.317]], "mass_density_g_cm3": 3.192, "sg": "No. 12", "dos_at_fermi_per_ev_fu": 0.00}


Of them, the most stable is B) and the least stable is A).


A) {"formula": "PaBrCl4", "functional": "PBE", "state": "optimized geometry", "lattice_angstrom": [[-6.169, -4.654, 9.666], [-7.020, -9.565, 6.818], [6.445, -2.738, 2.795]], "species": ["Cl", "Cl", "Cl", "Pa", "Br", "Br", "Cl", "Pa", "Cl", "Cl", "Cl", "Cl"], "frac_coords": [[0.182, 0.997, 0.156], [0.182, 0.497, 0.344], [0.818, 0.503, 0.656], [0.000, 0.500, 0.500], [0.500, 0.500, 0.000], [0.500, 0.000, 0.500], [0.904, 0.501, 0.207], [0.000, 0.000, 0.000], [0.904, 0.001, 0.293], [0.818, 0.003, 0.844], [0.096, 0.499, 0.793], [0.096, 0.999, 0.707]], "mass_density_g_cm3": 2.808, "sg": "No. 14", "dos_at_fermi_per_ev_fu": 0.00}


B) {"formula": "PaBrCl4", "functional": "PBE", "state": "optimized geometry", "lattice_angstrom": [[-3.340, -5.226, -3.400], [5.190, -4.468, 1.769], [-3.427, 3.645, 5.119]], "species": ["Cl", "Cl", "Pa", "Br", "Cl", "Cl"], "frac_coords": [[0.278, 0.094, 0.747], [0.906, 0.531, 0.253], [0.500, 0.500, 0.000], [0.750, 0.250, 0.500], [0.469, 0.653, 0.747], [0.347, 0.722, 0.253]], "mass_density_g_cm3": 2.935, "sg": "No. 82"}


Of them, the most stable is A) and the least stable is B).